[1]
## Hf2TiTlTc (PBE)

Data for a relaxed Hf2TiTlTc crystal.

The value obtained for the magnetic moment is 0.043 μB/atom. For the calculated formation energy, the calculation gives 1804 meV per atom.

The structure belongs to space group P4/mmm (No. 123); the cell edges are 5.220, 5.220 and 4.941 Å and the angles 90.00°, 90.00° and 90.00°. The distinct sites, in fractional coordinates, are Hf at (0.000, 0.500, 0.000), Ti at (0.000, 0.000, 0.500), Tl at (0.000, 0.000, 0.000) and Tc at (0.500, 0.500, 0.500).



[2]
## AgPd2Au (PBE)

Data for a relaxed AgPd2Au crystal.

The value obtained for the magnetic moment is 0.000 μB/atom. For the calculated formation energy, the calculation gives -49 meV per atom.

The structure belongs to space group P4/mmm (No. 123); the cell edges are 4.090, 4.090 and 3.974 Å and the angles 90.00°, 90.00° and 90.00°. The distinct sites, in fractional coordinates, are Ag at (0.000, 0.000, 0.000), Pd at (0.000, 0.500, 0.500) and Au at (0.500, 0.500, 0.000).



[3]
## V2Co9Re (PBE)

Data for a relaxed V2Co9Re crystal.

The value obtained for the magnetic moment is 0.411 μB/atom. For the calculated formation energy, the calculation gives 161 meV per atom.

The structure belongs to space group R-3m (No. 166, hexagonal axes); the cell edges are 4.5923, 4.5923 and 22.8673 Å and the angles 90.00°, 90.00° and 120.00°. The distinct sites, in fractional coordinates, are V at (0.0000, 0.0000, 0.1370), Co at (0.0000, 0.0000, 0.3344), Co at (0.0000, 0.0000, 0.5000), Co at (0.0054, 0.5027, 0.9145) and Re at (0.0000, 0.0000, 0.0000).



[4]
## Th3Sc2Pb3 (PBE)

Data for a relaxed Th3Sc2Pb3 crystal.

The value obtained for the magnetic moment is 0.054 μB/atom. For the calculated formation energy, the calculation gives -328 meV per atom.

The structure belongs to space group P6_3/mcm (No. 193); the cell edges are 9.2005, 9.2005 and 6.2632 Å and the angles 90.00°, 90.00° and 120.00°. The distinct sites, in fractional coordinates, are Th at (0.0000, 0.2386, 0.2500), Sc at (0.3333, 0.6667, 0.0000) and Pb at (0.0000, 0.4060, 0.7500).



[5]
## Nd3Sm4Er (PBE)

Data for a relaxed Nd3Sm4Er crystal.

The value obtained for the magnetic moment is 0.000 μB/atom. For the calculated formation energy, the calculation gives 153 meV per atom.

The structure belongs to space group C2/m (No. 12); the cell edges are 23.707, 3.509 and 6.899 Å and the angles 90.00°, 106.91° and 90.00°. The distinct sites, in fractional coordinates, are Nd at (0.000, 0.000, 0.000), Nd at (0.125, 0.000, 0.385), Sm at (0.124, 0.000, 0.864), Sm at (0.241, 0.500, 0.745) and Er at (0.000, 0.500, 0.500).



[6]
## CaHoPbAu (PBE)

Data for a relaxed CaHoPbAu crystal.

The value obtained for the magnetic moment is 0.000 μB/atom. For the calculated formation energy, the calculation gives -655 meV per atom.

The structure belongs to space group F-43m (No. 216); the cell edges are 7.471, 7.471 and 7.471 Å and the angles 90.00°, 90.00° and 90.00°. The distinct sites, in fractional coordinates, are Ca at (0.000, 0.000, 0.000), Ho at (0.000, 0.000, 0.500), Pb at (0.250, 0.250, 0.250) and Au at (0.250, 0.250, 0.750).



[7]
## Rb3Ga5Sn2 (PBE)

Data for a relaxed Rb3Ga5Sn2 crystal.

The value obtained for the magnetic moment is 0.000 μB/atom. For the calculated formation energy, the calculation gives -36 meV per atom.

The structure belongs to space group Ibam (No. 72); the cell edges are 10.792, 15.154 and 7.401 Å and the angles 90.00°, 90.00° and 90.00°. The distinct sites, in fractional coordinates, are Rb at (0.000, 0.000, 0.250), Rb at (0.245, 0.386, 0.000), Ga at (0.000, 0.270, 0.250), Ga at (0.000, 0.500, 0.250), Ga at (0.114, 0.380, 0.500) and Sn at (0.138, 0.172, 0.000).



[8]
## Cs2ZnInAu (PBE)

Data for a relaxed Cs2ZnInAu crystal.

The value obtained for the magnetic moment is 0.091 μB/atom. For the calculated formation energy, the calculation gives 111 meV per atom.

The structure belongs to space group P4/mmm (No. 123); the cell edges are 7.018, 7.018 and 4.905 Å and the angles 90.00°, 90.00° and 90.00°. The distinct sites, in fractional coordinates, are Cs at (0.000, 0.500, 0.000), Zn at (0.000, 0.000, 0.000), In at (0.500, 0.500, 0.500) and Au at (0.000, 0.000, 0.500).



[9]
## LaScSi3 (PBE)

Data for a relaxed LaScSi3 crystal.

The uncorrected formation energy is 1071 meV/atom. The value obtained for the magnetic moment is 0.000 μB/atom.

The structure belongs to space group Pm-3m (No. 221); the cell edges are 5.266, 5.266 and 5.266 Å and the angles 90.00°, 90.00° and 90.00°. The distinct sites, in fractional coordinates, are La at (0.000, 0.000, 0.000), Sc at (0.500, 0.500, 0.500) and Si at (0.000, 0.000, 0.500).



[10]
## Sb2PbC (PBE)

Data for a relaxed Sb2PbC crystal.

The uncorrected formation energy is 771 meV/atom. The value obtained for the magnetic moment is 0.000 μB/atom.

The structure belongs to space group I-42d (No. 122); the cell edges are 7.037, 7.037 and 8.110 Å and the angles 90.00°, 90.00° and 90.00°. The distinct sites, in fractional coordinates, are Sb at (0.140, 0.250, 0.125), Pb at (0.000, 0.000, 0.500) and C at (0.000, 0.000, 0.000).



[11]
## CsHfPCl2 (PBE)

Data for a relaxed CsHfPCl2 crystal.

The uncorrected formation energy is -1187 meV/atom. The value obtained for the magnetic moment is 0.000 μB/atom.

The structure belongs to space group P4/mmm (No. 123); the cell edges are 5.258, 5.258 and 5.019 Å and the angles 90.00°, 90.00° and 90.00°. The distinct sites, in fractional coordinates, are Cs at (0.000, 0.000, 0.000), Hf at (0.500, 0.500, 0.500), P at (0.500, 0.500, 0.000) and Cl at (0.000, 0.500, 0.500).



[12]
## ScTcTe2 (PBE)

Data for a relaxed ScTcTe2 crystal.

The uncorrected formation energy is -202 meV/atom. The value obtained for the magnetic moment is 0.388 μB/atom.

The structure belongs to space group Fm-3m (No. 225); the cell edges are 6.917, 6.917 and 6.917 Å and the angles 90.00°, 90.00° and 90.00°. The distinct sites, in fractional coordinates, are Sc at (0.000, 0.000, 0.000), Tc at (0.000, 0.000, 0.500) and Te at (0.250, 0.250, 0.250).